Entry from Alexandria: a geometry-optimized PPtS3 structure (PBE).

Structure (extended XYZ):
```
5
Lattice="4.665 0.000 0.000 0.000 4.665 0.000 0.000 0.000 4.665" Properties=species:S:1:pos:R:3 pbc="T T T"
P 0.000 0.000 0.000
Pt 2.333 2.333 2.333
S 0.000 2.333 2.333
S 2.333 0.000 2.333
S 2.333 2.333 0.000
```

Calculated values
Offset from the most stable computed form, meV per atom: 9
ΔE_f (raw), meV per atom: 916
Space-group type: Pm-3m (221)